(1)
# VGeTe2Pb GGA-PBE relaxed
data_VGeTe2Pb
_chemical_formula_sum 'V1 Ge1 Te2 Pb1'
_symmetry_space_group_name_H-M 'P 4/m m m'
_symmetry_Int_Tables_number 123
_symmetry_space_group_name_Hall '-P 4 2'
_cell_length_a 5.208
_cell_length_b 5.208
_cell_length_c 5.337
_cell_angle_alpha 90.00
_cell_angle_beta 90.00
_cell_angle_gamma 90.00
loop_
_atom_site_label
_atom_site_type_symbol
_atom_site_fract_x
_atom_site_fract_y
_atom_site_fract_z
V1 V 0.000 0.000 0.000
Ge1 Ge 0.500 0.500 0.500
Te1 Te 0.000 0.500 0.000
Pb1 Pb 0.000 0.000 0.500
# Calculated volume (Å³/cell): 144.8
# Fermi-level density of states (states/eV per atom): 0.873
# Raw formation energy (eV per atom): 0.443

=====

(2)
# Tb2PmDyY GGA-PBE relaxed
data_Tb2PmDyY
_chemical_formula_sum 'Tb8 Pm4 Dy4 Y4'
_symmetry_space_group_name_H-M 'C m c m'
_symmetry_Int_Tables_number 63
_symmetry_space_group_name_Hall '-C 2c 2'
_cell_length_a 8.392
_cell_length_b 11.546
_cell_length_c 7.195
_cell_angle_alpha 90.00
_cell_angle_beta 90.00
_cell_angle_gamma 90.00
loop_
_atom_site_label
_atom_site_type_symbol
_atom_site_fract_x
_atom_site_fract_y
_atom_site_fract_z
Tb1 Tb 0.191 0.000 0.000
Pm1 Pm 0.000 0.220 0.250
Dy1 Dy 0.000 0.486 0.250
Y1 Y 0.000 0.233 0.750
# Calculated volume (Å³/cell): 697.2
# DFT formation energy (meV per atom): 384.0
# Fermi-level density of states (states/eV per atom): 1.497

=====

(3)
# CaZrBr6 GGA-PBE relaxed
data_CaZrBr6
_chemical_formula_sum 'Ca2 Zr2 Br12'
_symmetry_space_group_name_H-M 'C 1 2/m 1'
_symmetry_Int_Tables_number 12
_cell_length_a 6.926
_cell_length_b 13.213
_cell_length_c 6.897
_cell_angle_alpha 90.00
_cell_angle_beta 107.51
_cell_angle_gamma 90.00
loop_
_symmetry_equiv_pos_as_xyz
'x,y,z'
'-x,-y,-z'
'-x,y,-z'
'x,-y,z'
'x+1/2,y+1/2,z'
'-x+1/2,-y+1/2,-z'
'-x+1/2,y+1/2,-z'
'x+1/2,-y+1/2,z'
loop_
_atom_site_label
_atom_site_type_symbol
_atom_site_fract_x
_atom_site_fract_y
_atom_site_fract_z
Ca1 Ca 0.000 0.000 0.000
Zr1 Zr 0.000 0.500 0.500
Br1 Br 0.228 0.357 0.732
Br2 Br 0.238 0.500 0.266
# Calculated volume (Å³/cell): 601.9
# Fermi-level density of states (states/eV per atom): 0.000
# Raw formation energy (eV per atom): -1.591

=====

Calculated magnetic moment (μB/f.u.), listed in the same order as above: 1.819 0.000 0.000